Here is a geometry-optimized Fe2CuPt9 structure from Alexandria. Energies are from PBE.

Values from the calculation:
- Density of states at the Fermi level: 1.136 states/eV/atom
- Energy: -6.469 eV per atom
- Energy relative to the elements: -0.19 eV per atom

Cell lengths 3.9173, 3.9173, 11.6999 Å; angles 90.00, 90.00, 90.00 degrees
Closest atoms and distances in Å follow each position.
Space group P4/mmm (No. 123)
One atom of each set of equivalent atoms:
Fe  0.0000  0.0000  0.1712 [2 per cell]  12 Pt 2.72-2.80
Cu  0.0000  0.0000  0.5000 [1 per cell]  12 Pt 2.77
Pt  0.0000  0.5000  0.0000 [2 per cell]  8 Pt 2.76-2.77, 4 Fe 2.80
Pt  0.0000  0.5000  0.3322 [4 per cell]  2 Fe 2.72, 8 Pt 2.76-2.77, 2 Cu 2.77
Pt  0.5000  0.5000  0.1659 [2 per cell]  8 Pt 2.76, 4 Fe 2.77
Pt  0.5000  0.5000  0.5000 [1 per cell]  4 Cu 2.77, 8 Pt 2.77

---

Here is a geometry-optimized Fe2CuPt6 structure from Alexandria. Energies are from PBE.

Values from the calculation:
- Density of states at the Fermi level: 0.786 states/eV/atom
- Energy: -6.562 eV per atom
- Energy relative to the elements: -0.20 eV per atom

Cell lengths 8.5964, 3.9097, 8.2027 Å; angles 90.00, 106.73, 90.00 degrees
Closest atoms and distances in Å follow each position.
Space group C2/m (No. 12)
One atom of each set of equivalent atoms:
Fe  0.1718  0.0000  0.2235 [4 per cell]  10 Pt 2.66-2.77, 2 Cu 2.79
Cu  0.0000  0.5000  0.0000 [2 per cell]  8 Pt 2.63-2.77, 4 Fe 2.79
Pt  0.0009  0.5000  0.3204 [4 per cell]  1 Cu 2.63, 3 Fe 2.70-2.71, 7 Pt 2.73-2.84
Pt  0.1640  0.0000  0.8971 [4 per cell]  4 Fe 2.66-2.77, 3 Cu 2.68-2.77, 5 Pt 2.72-2.80
Pt  0.1680  0.0000  0.5576 [4 per cell]  9 Pt 2.73-2.84, 3 Fe 2.74-2.75

---

Here is a geometry-optimized Fe2CuPt structure from Alexandria. Energies are from PBE.

Values from the calculation:
- Density of states at the Fermi level: 0.698 states/eV/atom
- Energy: -6.822 eV per atom
- Energy relative to the elements: -0.06 eV per atom

Cell lengths 2.6486, 4.2602, 4.6085 Å; angles 90.00, 90.00, 90.00 degrees
Closest atoms and distances in Å follow each position.
Space group Pmm2 (No. 25)
One atom of each set of equivalent atoms:
Fe  0.0000  0.0000  0.0000 [1 per cell]  4 Cu 2.59-2.72, 4 Fe 2.60-2.65, 4 Pt 2.64
Fe  0.0000  0.5000  0.3216 [1 per cell]  4 Fe 2.60-2.65, 4 Cu 2.62, 4 Pt 2.65-2.67
Cu  0.5000  0.0000  0.4834 [1 per cell]  8 Fe 2.59-2.72, 2 Pt 2.63, 2 Cu 2.65
Pt  0.5000  0.5000  0.8192 [1 per cell]  2 Cu 2.63, 8 Fe 2.64-2.67, 2 Pt 2.65